! Ac5Nd12Dy2 (PBE-GGA, relaxed); values from VASP
&SYSTEM
  ibrav = 0, nat = 19, ntyp = 3
/
ATOMIC_SPECIES
Ac 227.00 Ac.upf
Nd 144.24 Nd.upf
Dy 162.50 Dy.upf
ATOMIC_POSITIONS angstrom
Ac 0.000 0.000 0.000
Ac 2.525 0.000 8.344
Ac 6.748 0.000 3.485
Ac 13.171 0.000 4.979
Ac 17.394 0.000 0.120
Nd 4.690 1.827 6.013
Nd 1.478 0.000 4.683
Nd 8.733 1.761 1.050
Nd 11.186 1.761 7.413
Nd 15.229 1.827 2.451
Nd 7.900 0.000 6.842
Nd 12.019 0.000 1.622
Nd 4.690 -1.827 6.013
Nd 8.733 -1.761 1.050
Nd 11.186 -1.761 7.413
Nd 18.441 0.000 3.780
Nd 15.229 -1.827 2.451
Dy 9.959 1.789 4.232
Dy 9.959 -1.789 4.232
CELL_PARAMETERS angstrom
11.555 -3.696 0.000
11.555 3.696 0.000
-3.190 0.000 8.464
! Calculated formation energy   148.0 meV per atom

---

! Dy2Ni12P7 (PBE-GGA, relaxed); values from VASP
&SYSTEM
  ibrav = 0, nat = 21, ntyp = 3
/
ATOMIC_SPECIES
Dy 162.50 Dy.upf
Ni 58.69 Ni.upf
P 30.97 P.upf
ATOMIC_POSITIONS angstrom
Dy 0.000 5.234 0.928
Dy 4.533 2.617 2.767
Ni -1.452 3.411 2.772
Ni -0.124 2.007 0.906
Ni -2.733 6.955 0.906
Ni 1.676 1.110 2.790
Ni -0.853 7.404 2.772
Ni 2.228 2.963 0.923
Ni 2.305 4.888 2.772
Ni 5.386 0.448 0.923
Ni 2.857 6.741 0.906
Ni 7.267 0.896 2.790
Ni 4.657 5.845 2.790
Ni 5.985 4.440 0.923
P 0.000 0.000 1.848
P -2.182 5.539 2.774
P 0.827 3.192 2.774
P 3.178 0.880 0.921
P 1.355 6.972 2.774
P 3.706 4.659 0.921
P 6.715 2.312 0.921
CELL_PARAMETERS angstrom
9.066 0.000 0.000
-4.533 7.852 0.000
0.000 0.000 3.695
! Calculated formation energy   -766.5 meV per atom
! Excess energy over the best structure of this formula in the dataset   0.005 eV/atom

---

! Cs4Cl (PBE-GGA, relaxed); values from VASP
&SYSTEM
  ibrav = 0, nat = 10, ntyp = 2
/
ATOMIC_SPECIES
Cs 132.91 Cs.upf
Cl 35.45 Cl.upf
ATOMIC_POSITIONS angstrom
Cs -1.176 0.040 6.171
Cs -4.977 -0.040 13.330
Cs 0.430 0.169 11.603
Cs 4.230 -0.169 4.444
Cs 5.604 0.169 9.874
Cs 9.404 -0.169 2.715
Cs 14.811 0.040 0.987
Cs 11.010 -0.040 8.146
Cl 3.017 2.060 10.738
Cl 6.817 -2.060 3.579
CELL_PARAMETERS angstrom
8.717 -4.048 0.000
8.717 4.048 0.000
-7.600 0.000 14.318
! Excess energy over the best structure of this formula in the dataset   0.012 eV/atom
! Uncorrected formation energy   -0.711 eV per atom

---

! Ta2AgSb (PBE-GGA, relaxed); values from VASP
&SYSTEM
  ibrav = 0, nat = 4, ntyp = 3
/
ATOMIC_SPECIES
Ta 180.95 Ta.upf
Ag 107.87 Ag.upf
Sb 121.76 Sb.upf
ATOMIC_POSITIONS angstrom
Ta 0.000 0.000 0.000
Ta 1.828 0.000 2.126
Ag 1.828 0.000 6.982
Sb 0.000 0.000 4.346
CELL_PARAMETERS angstrom
1.828 -2.395 0.000
1.828 2.395 0.000
0.000 0.000 9.186
! Uncorrected formation energy   0.163 eV per atom

---

! KInCl (PBE-GGA, relaxed); values from VASP
&SYSTEM
  ibrav = 0, nat = 6, ntyp = 3
/
ATOMIC_SPECIES
K 39.10 K.upf
In 114.82 In.upf
Cl 35.45 Cl.upf
ATOMIC_POSITIONS angstrom
K 2.034 0.000 0.000
K 12.501 0.000 0.000
In 4.784 0.000 2.343
In 9.751 0.000 2.343
Cl 0.000 0.000 2.338
Cl 7.268 0.000 1.557
CELL_PARAMETERS angstrom
14.535 0.000 0.000
0.000 2.003 3.538
0.000 -2.003 3.538
! Excess energy over the best structure of this formula in the dataset   0.063 eV/atom
! Uncorrected formation energy   -0.773 eV per atom

---

! YSiAg2 (PBE-GGA, relaxed); values from VASP
&SYSTEM
  ibrav = 0, nat = 4, ntyp = 3
/
ATOMIC_SPECIES
Y 88.91 Y.upf
Si 28.09 Si.upf
Ag 107.87 Ag.upf
ATOMIC_POSITIONS angstrom
Y 0.000 0.000 0.000
Si 0.000 0.000 2.984
Ag 1.866 1.866 1.574
Ag 1.866 1.866 4.395
CELL_PARAMETERS angstrom
3.732 0.000 0.000
0.000 3.732 0.000
0.000 0.000 5.969
! Uncorrected formation energy   -0.050 eV per atom

---

! Ac12Si5Ir3 (PBE-GGA, relaxed); values from VASP
&SYSTEM
  ibrav = 0, nat = 80, ntyp = 3
/
ATOMIC_SPECIES
Ac 227.00 Ac.upf
Si 28.09 Si.upf
Ir 192.22 Ir.upf
ATOMIC_POSITIONS angstrom
Ac 2.752 -0.344 1.311
Ac 10.835 5.840 -4.873
Ac 8.714 -1.311 2.752
Ac 13.930 -1.777 3.218
Ac 11.810 0.344 1.311
Ac 10.835 -3.218 4.873
Ac 1.311 2.752 -0.344
Ac 12.275 4.185 -1.777
Ac 5.840 4.873 -1.777
Ac 7.747 2.752 0.344
Ac -0.344 1.311 2.752
Ac 4.873 -1.777 5.840
Ac 8.714 7.747 -2.752
Ac 4.873 1.777 3.218
Ac 7.747 -2.752 8.714
Ac 5.840 -4.873 10.835
Ac 3.218 4.873 1.777
Ac 10.369 6.306 0.344
Ac 2.752 8.714 -1.311
Ac 10.835 3.218 4.185
Ac 4.873 10.835 -3.218
Ac 8.714 1.311 6.306
Ac 1.777 3.218 4.873
Ac 2.752 0.344 7.747
Ac 6.306 8.714 1.311
Ac 7.281 5.840 4.185
Ac 0.344 7.747 2.752
Ac 4.185 -1.777 12.275
Ac -1.777 5.840 4.873
Ac 6.306 0.344 10.369
Ac -1.311 2.752 8.714
Ac 5.840 4.185 7.281
Ac 3.218 13.930 -1.777
Ac 1.311 11.810 0.344
Ac 4.185 7.281 5.840
Ac 0.344 1.311 11.810
Ac 4.185 10.835 3.218
Ac 9.402 7.747 6.306
Ac 1.311 6.306 8.714
Ac 3.218 4.185 10.835
Ac -3.218 4.873 10.835
Ac 7.747 6.306 9.402
Ac -1.777 12.275 4.185
Ac -2.752 8.714 7.747
Ac -4.873 10.835 5.840
Ac 0.344 10.369 6.306
Ac -1.777 3.218 13.930
Ac 6.306 9.402 7.747
Si 0.000 0.000 0.000
Si 4.529 4.529 -4.529
Si 4.529 -4.529 4.529
Si 9.058 0.000 0.000
Si 13.587 2.264 0.000
Si 9.058 -4.529 6.793
Si 6.793 9.058 -4.529
Si 6.793 0.000 4.529
Si 4.529 6.793 0.000
Si 9.058 4.529 2.264
Si -4.529 4.529 4.529
Si 0.000 9.058 0.000
Si 0.000 0.000 9.058
Si 4.529 4.529 4.529
Si 0.000 4.529 6.793
Si 4.529 2.264 9.058
Si 2.264 9.058 4.529
Si 2.264 0.000 13.587
Si 0.000 13.587 2.264
Si -4.529 6.793 9.058
Ir 4.529 2.264 0.000
Ir 9.058 4.529 -2.264
Ir 2.264 0.000 4.529
Ir 11.322 0.000 4.529
Ir 0.000 4.529 2.264
Ir 4.529 -2.264 9.058
Ir 4.529 11.322 0.000
Ir 9.058 4.529 6.793
Ir -2.264 9.058 4.529
Ir 6.793 9.058 4.529
Ir 0.000 4.529 11.322
Ir 4.529 6.793 9.058
CELL_PARAMETERS angstrom
-9.058 9.058 9.058
9.058 -9.058 9.058
9.058 9.058 -9.058
! Uncorrected formation energy   -0.095 eV per atom